The following is a DFT calculation (PBE) of a relaxed LaMgSi crystal.

Structure (POSCAR):
```
LaMgSi
1.0
3.292 0.000 0.000
-1.646 2.851 0.000
0.000 0.000 7.813
Mg La Si
1 1 1
direct
0.667 0.333 0.375 Mg
0.000 0.000 0.975 La
0.333 0.667 0.650 Si
```

SG: P3m1
Total energy in eV/atom: -3.887
Magnetization in μB/f.u.: 0.00



The following is a DFT calculation (PBE) of a relaxed LaMgSi2 crystal.

Structure (POSCAR):
```
LaMgSi2
1.0
-7.907 -16.729 3.092
-2.896 -17.344 6.537
3.896 18.191 -2.418
Si La Mg
8 4 4
direct
0.111 0.111 0.000 Si
0.639 0.139 0.500 Si
0.952 0.952 0.000 Si
0.702 0.202 0.500 Si
0.861 0.361 0.500 Si
0.048 0.048 0.000 Si
0.889 0.889 0.000 Si
0.798 0.298 0.500 Si
0.577 0.577 0.000 La
0.423 0.423 0.000 La
0.327 0.827 0.500 La
0.173 0.673 0.500 La
0.250 0.250 0.000 Mg
0.500 0.000 0.500 Mg
0.750 0.750 0.000 Mg
0.000 0.500 0.500 Mg
```

SG: I4_1/amd
Total energy in eV/atom: -4.923
Magnetization in μB/f.u.: 0.00



The following is a DFT calculation (PBE) of a relaxed LaMgSi crystal.

Structure (POSCAR):
```
LaMgSi
1.0
8.638 0.000 0.000
0.000 4.481 0.000
0.000 0.000 7.811
La Si Mg
4 4 4
direct
0.500 0.500 0.263 La
0.500 0.000 0.735 La
0.000 0.000 0.763 La
0.000 0.500 0.235 La
0.250 0.000 0.412 Si
0.250 0.500 0.912 Si
0.750 0.500 0.912 Si
0.750 0.000 0.412 Si
0.728 0.000 0.079 Mg
0.772 0.500 0.579 Mg
0.228 0.500 0.579 Mg
0.272 0.000 0.079 Mg
```

SG: Imm2
Total energy in eV/atom: -4.424
Magnetization in μB/f.u.: 0.49